[1]
Be2Nb2Au | PBE-GGA | optimized geometry

Unit cell a=6.1214 b=6.1214 c=3.7322 alpha=90.00 beta=90.00 gamma=90.00
Element x y z (fractional)
Be1 0.3730 0.8730 0.0000
Be2 0.8730 0.6270 0.0000
Be3 0.6270 0.1270 0.0000
Be4 0.1270 0.3730 0.0000
Nb1 0.1646 0.6646 0.5000
Nb2 0.6646 0.8354 0.5000
Nb3 0.8354 0.3354 0.5000
Nb4 0.3354 0.1646 0.5000
Au1 0.0000 0.0000 0.0000
Au2 0.5000 0.5000 0.0000

Properties
ΔE to the lowest computed polymorph   0.0 meV/atom
SG   No. 127
E_form   -0.26 eV/atom

***

[2]
Pr5TmTe6 | PBE-GGA | optimized geometry

Unit cell a=7.7604 b=7.7977 c=7.7914 alpha=59.97 beta=80.44 gamma=70.61
Element x y z (fractional)
Pr1 0.5000 0.1779 0.6443
Pr2 0.0000 0.3325 0.3350
Pr3 0.5000 0.5000 0.0000
Pr4 0.0000 0.6675 0.6650
Pr5 0.5000 0.8221 0.3557
Tm1 0.0000 0.0000 0.0000
Te1 0.7595 0.0800 0.3190
Te2 0.2405 0.6010 0.3190
Te3 0.2495 0.2360 0.0000
Te4 0.7505 0.7640 0.0000
Te5 0.7595 0.3990 0.6810
Te6 0.2405 0.9200 0.6810

Properties
SG   No. 12
ΔE_f (raw)   -1399 meV/atom

***

[3]
Ba5Sr3Ca4 | PBE-GGA | optimized geometry

Unit cell a=8.2119 b=14.8949 c=16.7800 alpha=151.70 beta=56.13 gamma=137.05
Element x y z (fractional)
Ba1 0.3335 0.6612 0.8239
Ba2 0.5000 0.0000 0.5000
Ba3 0.7461 0.5022 0.0042
Ba4 0.2539 0.4978 0.9958
Ba5 0.6665 0.3388 0.1761
Sr1 0.6000 0.1902 0.3472
Sr2 0.0000 0.0000 0.5000
Sr3 0.4000 0.8098 0.6528
Ca1 0.9255 0.8501 0.6810
Ca2 0.8421 0.6866 0.8460
Ca3 0.1579 0.3134 0.1540
Ca4 0.0745 0.1499 0.3190

Properties
SG   No. 2
E_form   0.03 eV/atom

***

[4]
CrInAgMo2 | PBE-GGA | optimized geometry

Unit cell a=4.9156 b=4.6624 c=4.9156 alpha=90.00 beta=90.00 gamma=90.00
Element x y z (fractional)
Cr1 0.0000 0.5000 0.0000
Mo1 0.0000 0.0000 0.5000
Mo2 0.5000 0.0000 0.0000
Ag1 0.5000 0.5000 0.5000
In1 0.0000 0.0000 0.0000

Properties
SG   No. 123
E_form   2.44 eV/atom

***

[5]
PrNdHgIr | PBE-GGA | optimized geometry

Unit cell a=5.2251 b=5.2251 c=5.2251 alpha=60.00 beta=60.00 gamma=60.00
Element x y z (fractional)
Pr1 0.0000 0.0000 0.0000
Ir1 0.2500 0.2500 0.2500
Nd1 0.5000 0.5000 0.5000
Hg1 0.7500 0.7500 0.7500

Properties
ΔE to the lowest computed polymorph   0.0 meV/atom
SG   No. 216
E_form   -0.48 eV/atom

***

[6]
Y6Hg2TeSe3 | PBE-GGA | optimized geometry

Unit cell a=4.0646 b=8.7144 c=9.7010 alpha=109.56 beta=102.09 gamma=90.00
Element x y z (fractional)
Y1 0.3255 0.8890 0.6510
Y2 0.6562 0.6265 0.3124
Y3 0.6745 0.1110 0.3490
Y4 0.0073 0.2720 0.0145
Y5 0.9927 0.7280 0.9855
Y6 0.3438 0.3735 0.6876
Hg1 0.8155 0.6139 0.6310
Hg2 0.1845 0.3861 0.3690
Te1 0.5000 0.0000 0.0000
Se1 0.5000 0.5000 0.0000
Se2 0.8396 0.1368 0.6792
Se3 0.1604 0.8632 0.3208

Properties
SG   No. 12
ΔE_f (raw)   -1277 meV/atom

***

[7]
Cs2CdTe | PBE-GGA | optimized geometry

Unit cell a=6.4542 b=6.4542 c=6.4542 alpha=60.00 beta=60.00 gamma=60.00
Element x y z (fractional)
Cs1 0.2500 0.2500 0.2500
Cs2 0.7500 0.7500 0.7500
Te1 0.5000 0.5000 0.5000
Cd1 0.0000 0.0000 0.0000

Properties
ΔE to the lowest computed polymorph   0.0 meV/atom
SG   No. 225
ΔE_f (raw)   -634 meV/atom

***

[8]
Y2ZrSe | PBE-GGA | optimized geometry

Unit cell a=8.6849 b=8.6849 c=6.7864 alpha=50.22 beta=50.22 gamma=90.00
Element x y z (fractional)
Y1 0.5571 0.1250 0.2500
Y2 0.1929 0.6250 0.2500
Y3 0.3750 0.4429 0.7500
Y4 0.8750 0.8071 0.7500
Se1 0.5000 0.5000 0.0000
Se2 0.2500 0.7500 0.5000
Zr1 0.0000 0.0000 0.0000
Zr2 0.7500 0.2500 0.5000

Properties
SG   No. 122
ΔE_f (raw)   -297 meV/atom

***

[9]
Sr7Sn5Pb | PBE-GGA | optimized geometry

Unit cell a=6.9010 b=9.0006 c=9.0006 alpha=82.59 beta=67.46 gamma=67.46
Element x y z (fractional)
Sr1 0.6151 0.3849 0.3849
Sr2 0.2295 0.7705 0.7705
Sr3 0.0145 0.2991 0.6719
Sr4 0.0145 0.6719 0.2991
Sr5 0.2782 0.2218 0.2218
Sr6 0.5354 0.7973 0.1320
Sr7 0.5354 0.1320 0.7973
Sn1 0.5410 0.9914 0.4650
Sn2 0.0026 0.9914 0.4650
Sn3 0.5410 0.4650 0.9914
Sn4 0.0026 0.4650 0.9914
Sn5 0.7827 0.7173 0.7173
Pb1 0.9074 0.0926 0.0926

Properties
SG   No. 44
E_form   -0.42 eV/atom

***

[10]
AlZn2In | PBE-GGA | optimized geometry

Unit cell a=8.9999 b=8.9999 c=8.9999 alpha=19.97 beta=19.97 gamma=19.97
Element x y z (fractional)
Zn1 0.9935 0.9935 0.9935
Zn2 0.5065 0.5065 0.5065
Al1 0.2500 0.2500 0.2500
In1 0.7500 0.7500 0.7500

Properties
ΔE to the lowest computed polymorph   0.0 meV/atom
SG   No. 166
E_form   0.09 eV/atom

***

[11]
LiLa2SnPd6 | PBE-GGA | optimized geometry

Unit cell a=5.6475 b=9.0511 c=6.4879 alpha=48.08 beta=64.19 gamma=89.99
Element x y z (fractional)
Li1 0.0000 0.0000 0.0000
La1 0.7432 0.2448 0.5135
La2 0.2568 0.7552 0.4865
Sn1 0.5000 0.5000 0.0000
Pd1 0.2424 0.0573 0.5152
Pd2 0.7003 0.6969 0.1116
Pd3 0.1881 0.6969 0.1117
Pd4 0.8119 0.3031 0.8883
Pd5 0.2997 0.3031 0.8884
Pd6 0.7575 0.9427 0.4849

Properties
SG   No. 12
E_form   -0.62 eV/atom

***

[12]
CrSb2TeH | PBE-GGA | optimized geometry

Unit cell a=4.9969 b=4.9969 c=5.0046 alpha=90.00 beta=90.00 gamma=90.00
Element x y z (fractional)
Sb1 0.0000 0.5000 0.0000
Sb2 0.5000 0.0000 0.0000
Te1 0.0000 0.0000 0.5000
H1 0.5000 0.5000 0.5000
Cr1 0.0000 0.0000 0.0000

Properties
ΔE to the lowest computed polymorph   0.0 meV/atom
SG   No. 123

***

[13]
TaMoH | PBE-GGA | optimized geometry

Unit cell a=3.3069 b=4.6742 c=5.5255 alpha=64.95 beta=106.97 gamma=90.00
Element x y z (fractional)
H1 0.4993 0.2433 0.5001
H2 0.5007 0.7567 0.4999
Mo1 0.1130 0.1304 0.2390
Mo2 0.8870 0.8696 0.7610
Ta1 0.6232 0.6341 0.2316
Ta2 0.3768 0.3659 0.7684

Properties
ΔE to the lowest computed polymorph   0.0 meV/atom
SG   No. 12

***

[14]
NaBeRh2 | PBE-GGA | optimized geometry

Unit cell a=4.3783 b=4.3783 c=8.4015 alpha=74.90 beta=74.90 gamma=90.00
Site moments in Bohr magnetons follow the coordinates.
Element x y z (fractional)
Na1 0.0000 0.0000 0.0000  0.00
Na2 0.7500 0.2500 0.5000  0.00
Rh1 0.4915 0.1250 0.2500  0.31
Rh2 0.2585 0.6250 0.2500  0.31
Rh3 0.3750 0.5085 0.7500  0.31
Rh4 0.8750 0.7415 0.7500  0.31
Be1 0.5000 0.5000 0.0000  -0.01
Be2 0.2500 0.7500 0.5000  -0.01

Properties
SG   No. 122
E_form   0.54 eV/atom

***

[15]
GaW | PBE-GGA | optimized geometry

Unit cell a=2.8845 b=2.8845 c=4.3635 alpha=90.00 beta=90.00 gamma=120.00
Element x y z (fractional)
Ga1 0.0000 0.0000 0.5000
W1 0.6667 0.3333 0.0000

Properties
ΔE to the lowest computed polymorph   0.0 meV/atom
SG   No. 187
E_form   0.15 eV/atom

***

[16]
SrLa2NbN4 | PBE-GGA | optimized geometry

Unit cell a=3.5866 b=6.5491 c=12.9439 alpha=90.00 beta=90.00 gamma=105.89
Element x y z (fractional)
Sr1 0.0999 0.1998 0.7500
Sr2 0.9001 0.8002 0.2500
La1 0.3695 0.7390 0.5338
La2 0.6305 0.2610 0.0338
La3 0.6305 0.2610 0.4662
La4 0.3695 0.7390 0.9662
Nb1 0.8298 0.6596 0.7500
Nb2 0.1702 0.3404 0.2500
N1 0.2642 0.5283 0.1324
N2 0.7358 0.4717 0.6324
N3 0.7358 0.4717 0.8676
N4 0.2642 0.5283 0.3676
N5 0.0000 0.0000 0.5000
N6 0.0000 0.0000 0.0000
N7 0.4151 0.8301 0.7500
N8 0.5849 0.1699 0.2500

Properties
SG   No. 63
ΔE_f (raw)   -1086 meV/atom

***

[17]
ScTcRh2 | PBE-GGA | optimized geometry

Unit cell a=3.9638 b=3.9638 c=9.1432 alpha=77.48 beta=77.48 gamma=90.00
Element x y z (fractional)
Sc1 0.5000 0.5000 0.0000
Sc2 0.2500 0.7500 0.5000
Rh1 0.6388 0.1250 0.2500
Rh2 0.1112 0.6250 0.2500
Rh3 0.3750 0.3612 0.7500
Rh4 0.8750 0.8888 0.7500
Tc1 0.0000 0.0000 0.0000
Tc2 0.7500 0.2500 0.5000

Properties
ΔE to the lowest computed polymorph   560.2 meV/atom
SG   No. 122
E_form   0.17 eV/atom

***

[18]
Dy4Y8Mg | PBE-GGA | optimized geometry

Unit cell a=7.1795 b=7.1795 c=10.3468 alpha=90.00 beta=110.30 gamma=120.00
Element x y z (fractional)
Dy1 0.0000 0.0000 0.0000
Dy2 0.0000 0.5000 0.0000
Dy3 0.5000 0.5000 0.0000
Dy4 0.5000 0.0000 0.0000
Y1 0.5744 0.7872 0.3616
Y2 0.4256 0.2128 0.6384
Y3 0.5092 0.2546 0.2921
Y4 0.9625 0.2170 0.7079
Y5 0.4908 0.7454 0.7079
Y6 0.9625 0.7454 0.7079
Y7 0.0375 0.2546 0.2921
Y8 0.0375 0.7830 0.2921
Mg1 0.0000 0.5000 0.5000

Properties
SG   No. 166
E_form   0.18 eV/atom

***

[19]
CaZrPbAu2 | PBE-GGA | optimized geometry

Unit cell a=5.0697 b=5.6169 c=5.0697 alpha=90.00 beta=90.00 gamma=90.00
Element x y z (fractional)
Pb1 0.0000 0.5000 0.0000
Ca1 0.0000 0.0000 0.0000
Au1 0.0000 0.0000 0.5000
Au2 0.5000 0.0000 0.0000
Zr1 0.5000 0.5000 0.5000

Properties
SG   No. 123
E_form   0.72 eV/atom

***

[20]
Ca2Ga5Co2Pd | PBE-GGA | optimized geometry

Unit cell a=3.5267 b=9.8738 c=9.8738 alpha=90.00 beta=90.00 gamma=90.00
Element x y z (fractional)
Ca1 0.0000 0.6823 0.1823
Ca2 0.0000 0.3177 0.8177
Ca3 0.0000 0.1823 0.3177
Ca4 0.0000 0.8177 0.6823
Ga1 0.5000 0.2035 0.0572
Ga2 0.5000 0.7965 0.9428
Ga3 0.5000 0.0572 0.7965
Ga4 0.5000 0.7035 0.4428
Ga5 0.5000 0.9428 0.2035
Ga6 0.5000 0.2965 0.5572
Ga7 0.5000 0.5572 0.7035
Ga8 0.5000 0.4428 0.2965
Ga9 0.5000 0.5000 0.0000
Ga10 0.5000 0.0000 0.5000
Co1 0.0000 0.1166 0.6166
Co2 0.0000 0.8834 0.3834
Co3 0.0000 0.6166 0.8834
Co4 0.0000 0.3834 0.1166
Pd1 0.0000 0.0000 0.0000
Pd2 0.0000 0.5000 0.5000

Properties
SG   No. 127
E_form   -0.30 eV/atom